First-principles (PBE-GGA) data for a relaxed structure of TaGe3Sb, as listed in Alexandria.

Unit cell a=5.0605 b=5.0605 c=5.0605 alpha=90.00 beta=90.00 gamma=90.00
Last column: nearest neighbours and their distance in Å.
Fractional coordinates of all 5 atoms:
1 Sb 0.5000 0.5000 0.5000  12 Ge 3.58
2 Ge 0.5000 0.0000 0.0000  2 Ta 2.53
3 Ge 0.0000 0.0000 0.5000  2 Ta 2.53
4 Ge 0.0000 0.5000 0.0000  2 Ta 2.53
5 Ta 0.0000 0.0000 0.0000  6 Ge 2.53

Space-group type   Pm-3m, No. 221
Polymorph energy (0 for the lowest one)   0.0 meV per atom